The following is a PBE calculation of a geometry-optimized Cs3Pm2PrS6 structure, from Alexandria via LeMat-Bulk.

a b c (Å): 7.347 12.726 8.460
angles (deg): 90.00 106.83 90.00
Space group C2/m (No. 12)
Inequivalent atoms, fractional coordinates:
Cs 0.000 0.000 0.000 x2
Cs 0.000 0.334 0.000 x4
Pm 0.000 0.167 0.500 x4
Pr 0.000 0.500 0.500 x2
S 0.225 0.000 0.686 x4
S 0.231 0.332 0.686 x8

Values from the calculation:
Mass density in g/cm3: 4.483
Total DFT energy (no corrections) in eV/atom: -5.280